1.
NdTlZn after structural relaxation, computed with PBE.

Unit cell a=4.777 b=4.777 c=7.621 alpha=90.00 beta=90.00 gamma=120.00
Atoms (fractional coordinates):
1 Tl 0.333 0.667 0.250
2 Tl 0.667 0.333 0.750
3 Nd 0.000 0.000 0.000
4 Nd 0.000 0.000 0.500
5 Zn 0.333 0.667 0.750
6 Zn 0.667 0.333 0.250

Results
The calculation puts the density at 9.13 g/cm³. The density of states at the Fermi level comes out at 3.854 states/eV/cell. As for the space group: No. 194. The calculation puts the total magnetization at 0.0000 μB per atom. As for the calculated formation energy: -338 meV per atom.

2.
Nd5Tl4Zn after structural relaxation, computed with PBE.

Unit cell a=3.750 b=3.750 c=20.515 alpha=90.00 beta=90.00 gamma=90.00
Atoms (fractional coordinates):
1 Nd 0.500 0.500 0.293
2 Nd 0.500 0.500 0.086
3 Nd 0.500 0.500 0.707
4 Nd 0.500 0.500 0.914
5 Nd 0.500 0.500 0.500
6 Tl 0.000 0.000 0.812
7 Tl 0.000 0.000 0.604
8 Tl 0.000 0.000 0.188
9 Tl 0.000 0.000 0.396
10 Zn 0.000 0.000 0.000

Results
The calculation puts the density at 9.24 g/cm³. The density of states at the Fermi level comes out at 8.094 states/eV/cell. As for the space group: No. 123. The calculation puts the total magnetization at 0.0001 μB per atom. As for the calculated formation energy: -383 meV per atom.

3.
NdTl2Zn after structural relaxation, computed with PBE.

Unit cell a=4.694 b=4.694 c=6.138 alpha=67.52 beta=67.52 gamma=60.00
Atoms (fractional coordinates):
1 Tl 0.228 0.228 0.317
2 Tl 0.772 0.772 0.683
3 Nd 0.000 0.000 0.000
4 Zn 0.500 0.500 0.500

Results
The calculation puts the density at 9.77 g/cm³. The density of states at the Fermi level comes out at 1.464 states/eV/cell. As for the space group: No. 166. The calculation puts the total magnetization at 0.0000 μB per atom. As for the calculated formation energy: -166 meV per atom.

4.
Nd6Tl5Zn after structural relaxation, computed with PBE.

Unit cell a=5.495 b=7.734 c=8.670 alpha=90.00 beta=71.52 gamma=90.00
Atoms (fractional coordinates):
1 Tl 0.666 0.000 0.669
2 Tl 0.334 0.000 0.331
3 Tl 0.332 0.500 0.336
4 Tl 0.668 0.500 0.664
5 Tl 0.000 0.500 0.000
6 Nd 0.500 0.242 0.000
7 Nd 0.163 0.245 0.674
8 Nd 0.837 0.245 0.326
9 Nd 0.500 0.758 0.000
10 Nd 0.837 0.755 0.326
11 Nd 0.163 0.755 0.674
12 Zn 0.000 0.000 0.000

Results
The calculation puts the density at 9.28 g/cm³. The density of states at the Fermi level comes out at 11.547 states/eV/cell. As for the space group: No. 65. The calculation puts the total magnetization at 0.0000 μB per atom. As for the calculated formation energy: -371 meV per atom.

5.
Nd12Tl5Zn2 after structural relaxation, computed with PBE.

Unit cell a=7.364 b=9.556 c=9.286 alpha=84.02 beta=90.00 gamma=112.66
Atoms (fractional coordinates):
1 Nd 0.096 0.695 0.509
2 Nd 0.913 0.319 0.062
3 Nd 0.593 0.681 0.938
4 Nd 0.968 0.936 0.182
5 Nd 0.598 0.695 0.509
6 Nd 0.402 0.305 0.491
7 Nd 0.904 0.305 0.491
8 Nd 0.407 0.319 0.062
9 Nd 0.032 0.064 0.818
10 Nd 0.087 0.681 0.938
11 Nd 0.497 0.994 0.696
12 Nd 0.503 0.006 0.304
13 Tl 0.000 0.000 0.500
14 Tl 0.774 0.548 0.247
15 Tl 0.226 0.452 0.753
16 Tl 0.703 0.407 0.759
17 Tl 0.297 0.593 0.241
18 Zn 0.335 0.000 0.000
19 Zn 0.665 0.000 0.000

Results
The calculation puts the density at 7.99 g/cm³. The density of states at the Fermi level comes out at 21.608 states/eV/cell. As for the space group: No. 12. The calculation puts the total magnetization at 0.0000 μB per atom. As for the calculated formation energy: -162 meV per atom.

6.
Nd3TlZn8 after structural relaxation, computed with PBE.

Unit cell a=5.605 b=5.605 c=9.594 alpha=73.02 beta=73.02 gamma=60.00
Atoms (fractional coordinates):
1 Zn 0.440 0.440 0.182
2 Zn 0.430 0.940 0.691
3 Zn 0.940 0.430 0.691
4 Zn 0.689 0.689 0.932
5 Zn 0.938 0.440 0.182
6 Zn 0.440 0.938 0.182
7 Zn 0.940 0.940 0.691
8 Zn 0.186 0.186 0.441
9 Tl 0.872 0.872 0.385
10 Nd 0.377 0.377 0.868
11 Nd 0.504 0.504 0.489
12 Nd 0.995 0.995 0.016

Results
The calculation puts the density at 7.84 g/cm³. The density of states at the Fermi level comes out at 6.833 states/eV/cell. As for the space group: No. 160. The calculation puts the total magnetization at 0.0000 μB per atom. As for the calculated formation energy: -239 meV per atom.